## TlCrW2 (GGA-PBE)

Data for a relaxed structure of TlCrW2.

- E_form (eV/atom) = 0.67
- excess energy over the best structure of this formula in the dataset (eV per atom) = 0.065
- final energy (eV per atom) = -8.802
- M_tot (μB per cell) = 0.00
- ρ (g cm⁻³) = 15.3

Cell: 2.8344 2.8344 9.0698 Å, 90.00 90.00 112.09°
Closest atoms and distances in Å follow each position.
Sites, in units of the cell vectors:
W1 0.0000 0.0000 0.0316  2 Cr 2.54, 4 W 2.83
W2 0.0000 0.0000 0.4684  2 Cr 2.54, 4 W 2.83
Tl1 0.5000 0.5000 0.7500  6 Tl 2.83-3.17, 4 W 3.01
Cr1 0.5000 0.5000 0.2500  4 W 2.54, 4 Cr 2.83